An optimized crystal structure of TiMnAsBr2. Source: Alexandria, functional GGA-PBE.

Values from the calculation:
size of the total moment = 1.37 μB/f.u.
distance to the lowest polymorph of the same formula = 339.1 meV per atom
ΔE_f (raw) = 1.8 eV per formula unit

a b c (Å): 4.8431 4.8431 5.9355
angles (deg): 90.00 90.00 90.00
Closest atoms and distances in Å follow each position.
Space group P4/mmm (No. 123)
Inequivalent atoms, fractional coordinates:
Ti (0.0000, 0.0000, 0.0000) [1 per cell]  4 Br 2.42
Mn (0.0000, 0.0000, 0.5000) [1 per cell]  2 Ti 2.97
As (0.5000, 0.5000, 0.5000) [1 per cell]  4 Mn 3.42, 8 Br 3.83
Br (0.0000, 0.5000, 0.0000) [2 per cell]  2 Ti 2.42


An optimized crystal structure of MnVAs2Br. Source: Alexandria, functional GGA-PBE.

Values from the calculation:
size of the total moment = 5.87 μB/f.u.
distance to the lowest polymorph of the same formula = 161.1 meV per atom
ΔE_f (raw) = 2.7 eV per formula unit

a b c (Å): 4.6016 4.6016 5.2426
angles (deg): 90.00 90.00 90.00
Closest atoms and distances in Å follow each position.
Space group P4/mmm (No. 123)
Inequivalent atoms, fractional coordinates:
Mn (0.0000, 0.0000, 0.0000) [1 per cell]  4 As 2.30
V (0.5000, 0.5000, 0.5000) [1 per cell]  4 Br 3.25, 8 As 3.49
As (0.0000, 0.5000, 0.0000) [2 per cell]  2 Mn 2.30
Br (0.0000, 0.0000, 0.5000) [1 per cell]  2 Mn 2.62


An optimized crystal structure of MnVAs2Br. Source: Alexandria, functional GGA-PBE.

Values from the calculation:
size of the total moment = 5.90 μB/f.u.
distance to the lowest polymorph of the same formula = 0.0 meV per atom
ΔE_f (raw) = 1.9 eV per formula unit

a b c (Å): 4.7283 4.7283 5.2924
angles (deg): 90.00 90.00 90.00
Closest atoms and distances in Å follow each position.
Space group P4/mmm (No. 123)
Inequivalent atoms, fractional coordinates:
Mn (0.0000, 0.0000, 0.0000) [1 per cell]  4 Br 3.34, 8 As 3.55
V (0.5000, 0.5000, 0.5000) [1 per cell]  4 As 2.36, 2 Br 2.65
As (0.0000, 0.5000, 0.5000) [2 per cell]  2 V 2.36
Br (0.5000, 0.5000, 0.0000) [1 per cell]  2 V 2.65


An optimized crystal structure of MnAsWBr2. Source: Alexandria, functional GGA-PBE.

Values from the calculation:
size of the total moment = 7.23 μB/f.u.
distance to the lowest polymorph of the same formula = 0.0 meV per atom
ΔE_f (raw) = 3.8 eV per formula unit

a b c (Å): 5.2528 5.2528 4.9216
angles (deg): 90.00 90.00 90.00
Closest atoms and distances in Å follow each position.
Space group P4/mmm (No. 123)
Inequivalent atoms, fractional coordinates:
Mn (0.0000, 0.0000, 0.0000) [1 per cell]  8 Br 3.60, 4 As 3.71
As (0.5000, 0.5000, 0.0000) [1 per cell]  2 W 2.46
W (0.5000, 0.5000, 0.5000) [1 per cell]  2 As 2.46, 4 Br 2.63
Br (0.0000, 0.5000, 0.5000) [2 per cell]  2 W 2.63


An optimized crystal structure of MnAsWBr2. Source: Alexandria, functional GGA-PBE.

Values from the calculation:
size of the total moment = 3.35 μB/f.u.
distance to the lowest polymorph of the same formula = 617.1 meV per atom
ΔE_f (raw) = 6.9 eV per formula unit

a b c (Å): 4.7346 4.7346 5.1159
angles (deg): 90.00 90.00 90.00
Closest atoms and distances in Å follow each position.
Space group P4/mmm (No. 123)
Inequivalent atoms, fractional coordinates:
Mn (0.0000, 0.0000, 0.0000) [1 per cell]  4 Br 2.37, 2 As 2.56
As (0.0000, 0.0000, 0.5000) [1 per cell]  2 Mn 2.56
W (0.5000, 0.5000, 0.5000) [1 per cell]  4 As 3.35, 8 Br 3.49
Br (0.0000, 0.5000, 0.0000) [2 per cell]  2 Mn 2.37


An optimized crystal structure of MnZnAsBr2. Source: Alexandria, functional GGA-PBE.

Values from the calculation:
size of the total moment = 2.59 μB/f.u.
distance to the lowest polymorph of the same formula = 0.0 meV per atom
ΔE_f (raw) = 0.6 eV per formula unit

a b c (Å): 5.1728 5.1728 4.8744
angles (deg): 90.00 90.00 90.00
Closest atoms and distances in Å follow each position.
Space group P4/mmm (No. 123)
Inequivalent atoms, fractional coordinates:
Mn (0.0000, 0.0000, 0.0000) [1 per cell]  2 As 2.44, 4 Br 2.59
Zn (0.5000, 0.5000, 0.5000) [1 per cell]  8 Br 3.55, 4 As 3.66
As (0.0000, 0.0000, 0.5000) [1 per cell]  2 Mn 2.44
Br (0.0000, 0.5000, 0.0000) [2 per cell]  2 Mn 2.59


An optimized crystal structure of MnZnAsBr2. Source: Alexandria, functional GGA-PBE.

Values from the calculation:
size of the total moment = 4.15 μB/f.u.
distance to the lowest polymorph of the same formula = 264.5 meV per atom
ΔE_f (raw) = 1.9 eV per formula unit

a b c (Å): 5.0950 5.0950 5.1438
angles (deg): 90.00 90.00 90.00
Closest atoms and distances in Å follow each position.
Space group P4/mmm (No. 123)
Inequivalent atoms, fractional coordinates:
Mn (0.0000, 0.0000, 0.0000) [1 per cell]  4 As 3.60, 8 Br 3.62
Zn (0.5000, 0.5000, 0.5000) [1 per cell]  4 Br 2.55, 2 As 2.57
As (0.5000, 0.5000, 0.0000) [1 per cell]  2 Zn 2.57
Br (0.0000, 0.5000, 0.5000) [2 per cell]  2 Zn 2.55


An optimized crystal structure of MnZn2AsBr. Source: Alexandria, functional GGA-PBE.

Values from the calculation:
size of the total moment = 5.18 μB/f.u.
ΔE_f (raw) = 3.1 eV per formula unit

a b c (Å): 4.9353 4.9353 5.5786
angles (deg): 90.00 90.00 90.00
Closest atoms and distances in Å follow each position.
Space group P4/mmm (No. 123)
Inequivalent atoms, fractional coordinates:
Mn (0.0000, 0.0000, 0.0000) [1 per cell]  4 Br 3.49, 8 Zn 3.72
Zn (0.0000, 0.5000, 0.5000) [2 per cell]  2 As 2.47
As (0.5000, 0.5000, 0.5000) [1 per cell]  4 Zn 2.47
Br (0.5000, 0.5000, 0.0000) [1 per cell]  2 As 2.79


An optimized crystal structure of MoAsBr. Source: Alexandria, functional GGA-PBE.

Values from the calculation:
size of the total moment = 0.00 μB/f.u.
distance to the lowest polymorph of the same formula = 323.8 meV per atom
ΔE_f (raw) = 1.0 eV per formula unit

a b c (Å): 3.4630 5.3729 14.3060
angles (deg): 90.00 90.00 90.00
Closest atoms and distances in Å follow each position.
Space group Fmm2 (No. 42)
Inequivalent atoms, fractional coordinates:
Mo (0.0000, 0.0000, 0.0000) [4 per cell]  2 As 2.48, 2 Br 2.66
As (0.0000, 0.0000, 0.6245) [4 per cell]  2 Mo 2.48
Br (0.0000, 0.0000, 0.3585) [4 per cell]  2 Mo 2.66


An optimized crystal structure of MoAs2Br. Source: Alexandria, functional GGA-PBE.

Values from the calculation:
size of the total moment = 0.00 μB/f.u.
distance to the lowest polymorph of the same formula = 188.3 meV per atom
ΔE_f (raw) = 0.6 eV per formula unit

a b c (Å): 3.3175 3.3175 7.8656
angles (deg): 90.00 90.00 90.00
Closest atoms and distances in Å follow each position.
Space group P4mm (No. 99)
Inequivalent atoms, fractional coordinates:
Mo (0.0000, 0.0000, 0.0000) [1 per cell]  5 As 2.62-2.65
As (0.0000, 0.0000, 0.3334) [1 per cell]  1 Mo 2.62, 4 As 2.72
As (0.5000, 0.5000, 0.1571) [1 per cell]  4 Mo 2.65, 4 As 2.72
Br (0.5000, 0.5000, 0.7670) [1 per cell]  4 Mo 2.98, 1 As 3.07, 4 Br 3.32


An optimized crystal structure of MoAsBr. Source: Alexandria, functional GGA-PBE.

Values from the calculation:
size of the total moment = 2.00 μB/f.u.
distance to the lowest polymorph of the same formula = 81.4 meV per atom
ΔE_f (raw) = 0.2 eV per formula unit

a b c (Å): 3.8327 3.8327 6.2797
angles (deg): 90.00 90.00 120.00
Closest atoms and distances in Å follow each position.
Space group P3m1 (No. 156)
Inequivalent atoms, fractional coordinates:
Mo (0.0000, 0.0000, 0.0000) [1 per cell]  3 As 2.47
As (0.3333, 0.6667, 0.1740) [1 per cell]  3 Mo 2.47
Br (0.6667, 0.3333, 0.7170) [1 per cell]  3 Mo 2.84


An optimized crystal structure of MoAsBr. Source: Alexandria, functional GGA-PBE.

Values from the calculation:
size of the total moment = 2.07 μB/f.u.
distance to the lowest polymorph of the same formula = 1084.8 meV per atom
ΔE_f (raw) = 3.3 eV per formula unit

a b c (Å): 6.5083 6.5083 6.5083
angles (deg): 90.00 90.00 90.00
Closest atoms and distances in Å follow each position.
Space group F-43m (No. 216)
Inequivalent atoms, fractional coordinates:
Mo (0.0000, 0.0000, 0.0000) [4 per cell]  4 As 2.82
As (0.2500, 0.2500, 0.7500) [4 per cell]  4 Mo 2.82, 4 Br 2.82
Br (0.0000, 0.0000, 0.5000) [4 per cell]  4 As 2.82